# 1
A plane-wave DFT calculation with PBE was carried out for a relaxed structure of La3AgHg2.

Summary:
Symmetry: No. 123
Calculated total energy in eV per atom: -3.46
Volume in Å³ per atom: 29.24

Cell: 3.9056 3.9056 11.5026 Å, 90.00 90.00 90.00°
Closest atoms and distances in Å follow each position.
Sites, in units of the cell vectors:
1 La 0.0000 0.0000 0.0000  8 Hg 3.37
2 La 0.0000 0.0000 0.3381  4 Ag 3.33, 4 Hg 3.38, 1 La 3.72
3 La 0.0000 0.0000 0.6619  4 Ag 3.33, 4 Hg 3.38, 1 La 3.72
4 Ag 0.5000 0.5000 0.5000  8 La 3.33
5 Hg 0.5000 0.5000 0.1685  8 La 3.37-3.38
6 Hg 0.5000 0.5000 0.8315  8 La 3.37-3.38

# 2
A plane-wave DFT calculation with PBE was carried out for a relaxed structure of BaW2Cl.

Summary:
Energy relative to the elements, uncorrected in eV per formula unit: 0.97
Symmetry: No. 99
Volume in Å³ per atom: 26.27

Cell: 3.4149 3.4149 9.0123 Å, 90.00 90.00 90.00°
Closest atoms and distances in Å follow each position.
Sites, in units of the cell vectors:
1 Ba 0.0000 0.0000 0.0000  4 Cl 3.10, 4 Ba 3.41
2 W 0.0000 0.0000 0.5837  4 W 2.61
3 W 0.5000 0.5000 0.6945  4 W 2.61
4 Cl 0.5000 0.5000 0.2158  4 Ba 3.10, 4 Cl 3.41

# 3
A plane-wave DFT calculation with PBE was carried out for a relaxed structure of K2TlRu.

Summary:
Symmetry: No. 8
Calculated total energy in eV per atom: -2.82
Volume in Å³ per atom: 30.47

Cell: 13.0707 3.0870 6.3561 Å, 90.00 108.13 90.00°
Closest atoms and distances in Å follow each position.
Sites, in units of the cell vectors:
1 K 0.0000 0.0000 0.0000  2 K 3.09
2 K 0.1898 0.0000 0.6237  2 K 3.09
3 K 0.5000 0.5000 0.0000  2 K 3.09
4 K 0.6898 0.5000 0.6237  2 K 3.09
5 Tl 0.4144 0.0000 0.4379  2 Ru 2.74
6 Tl 0.9144 0.5000 0.4379  2 Ru 2.74
7 Ru 0.2581 0.5000 0.1562  2 Tl 2.74
8 Ru 0.7581 0.0000 0.1562  2 Tl 2.74

# 4
A plane-wave DFT calculation with PBE was carried out for a relaxed structure of Ag2SnF5.

Summary:
Energy relative to the elements, uncorrected in eV per formula unit: -13.34
Symmetry: No. 63
Volume in Å³ per atom: 20.55

Cell: 5.7259 5.7259 14.9483 Å, 90.00 90.00 137.87°
Closest atoms and distances in Å follow each position.
Sites, in units of the cell vectors:
1 Ag 0.2349 0.7651 0.5617  3 F 2.42-2.56
2 Ag 0.2349 0.7651 0.9383  3 F 2.42-2.56
3 Ag 0.7651 0.2349 0.0617  3 F 2.42-2.56
4 Ag 0.7651 0.2349 0.4383  3 F 2.42-2.56
5 Sn 0.0774 0.9226 0.2500  6 F 1.97-2.06
6 Sn 0.9226 0.0774 0.7500  6 F 1.97-2.06
7 F 0.0493 0.9507 0.6543  1 Sn 1.97
8 F 0.0493 0.9507 0.8457  1 Sn 1.97
9 F 0.2108 0.7892 0.1556  1 Sn 2.01
10 F 0.2108 0.7892 0.3444  1 Sn 2.01
11 F 0.4128 0.5872 0.7500  2 Sn 2.06
12 F 0.5872 0.4128 0.2500  2 Sn 2.06
13 F 0.7892 0.2108 0.6556  1 Sn 2.01
14 F 0.7892 0.2108 0.8444  1 Sn 2.01
15 F 0.9507 0.0493 0.1543  1 Sn 1.97
16 F 0.9507 0.0493 0.3457  1 Sn 1.97